1.
K2P2H2O7: optimized geometry, PBE.

Properties
Calculated total energy in eV per cell: -320.959
Volume in Å³ per cell: 775.3

Cell: 8.3047 8.3490 11.3141 Å, 82.95 84.82 88.76°
Space group P-1 (No. 2)
Asymmetric unit:
K  0.1228  0.2009  0.0738 [2 per cell]
K  0.2123  0.3713  0.4219 [2 per cell]
K  0.2585  0.7948  0.5505 [2 per cell]
K  0.3168  0.7215  0.0481 [2 per cell]
P  0.0141  0.7870  0.2846 [2 per cell]
P  0.1268  0.5027  0.7981 [2 per cell]
P  0.2884  0.0475  0.7862 [2 per cell]
P  0.4416  0.3628  0.6986 [2 per cell]
H  0.2329  0.0069  0.3196 [2 per cell]
H  0.4025  0.0515  0.3522 [2 per cell]
H  0.4366  0.3823  0.1664 [2 per cell]
H  0.4868  0.2020  0.1822 [2 per cell]
O  0.0272  0.6365  0.7392 [2 per cell]
O  0.0277  0.3315  0.8131 [2 per cell]
O  0.0435  0.6933  0.4024 [2 per cell]
O  0.1387  0.9012  0.2193 [2 per cell]
O  0.1572  0.1152  0.6929 [2 per cell]
O  0.1855  0.5133  0.9178 [2 per cell]
O  0.2091  0.9912  0.9078 [2 per cell]
O  0.2745  0.4717  0.6968 [2 per cell]
O  0.2867  0.0572  0.3804 [2 per cell]
O  0.3891  0.2100  0.7988 [2 per cell]
O  0.3965  0.9328  0.7219 [2 per cell]
O  0.4306  0.2823  0.1281 [2 per cell]
O  0.4317  0.5494  0.2481 [2 per cell]
O  0.4740  0.3140  0.5761 [2 per cell]

***

2.
Tb3Ho3Er8: optimized geometry, PBE.

Properties
Calculated total energy in eV per cell: -124.992
Volume in Å³ per cell: 875.2

Cell: 5.5552 10.6785 14.7535 Å, 90.00 90.00 90.00°
Space group Immm (No. 71)
Asymmetric unit:
Tb  0.0000  0.0000  0.0000 [2 per cell]
Tb  0.0000  0.5000  0.3185 [4 per cell]
Ho  0.0000  0.0000  0.5000 [2 per cell]
Ho  0.0000  0.2961  0.5000 [4 per cell]
Er  0.0000  0.1590  0.2781 [8 per cell]
Er  0.0000  0.3422  0.1037 [8 per cell]

***

3.
PmMg2InPd4: optimized geometry, PBE.

Properties
Calculated total energy in eV per cell: -110.551
Volume in Å³ per cell: 446.8

Cell: 4.7093 4.7093 23.2647 Å, 90.00 90.00 120.00°
Space group R-3m (No. 166, hexagonal axes)
Asymmetric unit:
Pm  0.0000  0.0000  0.0000 [3 per cell]
Mg  0.0000  0.0000  0.2455 [6 per cell]
In  0.0000  0.0000  0.5000 [3 per cell]
Pd  0.0000  0.0000  0.1267 [6 per cell]
Pd  0.0000  0.0000  0.3833 [6 per cell]

***

4.
ReSeS2Cl: optimized geometry, PBE.

Properties
Energy relative to the elements, uncorrected in eV/atom: 0.435
Volume in Å³ per cell: 101.2

Cell: 4.6090 4.6090 4.7631 Å, 90.00 90.00 90.00°
Space group P4/mmm (No. 123)
Asymmetric unit:
Re  0.0000  0.0000  0.0000 [1 per cell]
Se  0.5000  0.5000  0.5000 [1 per cell]
S  0.0000  0.5000  0.0000 [2 per cell]
Cl  0.0000  0.0000  0.5000 [1 per cell]

***

5.
NbMoRh: optimized geometry, PBE.

Properties
Calculated total energy in eV per cell: -57.492
Volume in Å³ per cell: 97.1

Cell: 2.7821 5.1326 7.2618 Å, 72.62 85.52 79.09°
Space group P-1 (No. 2)
Asymmetric unit:
Nb  0.0427  0.1573  0.1445 [2 per cell]
Mo  0.2436  0.2334  0.5008 [2 per cell]
Rh  0.4834  0.3710  0.7996 [2 per cell]

***

6.
Li3HgSb2: optimized geometry, PBE.

Properties
Energy relative to the elements, uncorrected in eV/atom: -0.389
Volume in Å³ per cell: 123.0

Cell: 3.3402 3.3402 11.0285 Å, 90.00 90.00 90.00°
Space group P4/mmm (No. 123)
Asymmetric unit:
Li  0.0000  0.0000  0.0000 [1 per cell]
Li  0.0000  0.0000  0.3491 [2 per cell]
Hg  0.5000  0.5000  0.5000 [1 per cell]
Sb  0.5000  0.5000  0.1800 [2 per cell]